Below is a relaxed La2MoC2 crystal, with properties calculated at the PBE level.

Results
D(E_F)	10.13	states/eV per cell
volume	18.173	A^3/atom
size of the total moment	0.000	μB per formula unit
calculated formation energy	-0.041	eV per atom

Lattice parameters (Å, degrees): 8.369 6.545 6.745 90.00 100.34 90.00
Element x y z (fractional)
La 0.066 0.221 0.049
La 0.066 0.279 0.549
La 0.316 0.603 0.890
La 0.316 0.897 0.390
La 0.684 0.103 0.610
La 0.684 0.397 0.110
La 0.934 0.721 0.451
La 0.934 0.779 0.951
Mo 0.383 0.083 0.847
Mo 0.383 0.417 0.347
Mo 0.617 0.583 0.653
Mo 0.617 0.917 0.153
C 0.168 0.554 0.243
C 0.168 0.946 0.743
C 0.427 0.183 0.146
C 0.427 0.317 0.646
C 0.573 0.683 0.354
C 0.573 0.817 0.854
C 0.832 0.054 0.257
C 0.832 0.446 0.757